Density functional theory data (PBE) for crystalline Tl3In2Bi2 at its relaxed geometry.

Results
The calculation puts the size of the total moment at 0.0 μB/cell. The calculation puts the formation energy from the elements at 0.06 eV/atom. As for the crystal system: orthorhombic. The calculation puts the excess energy over the best structure of this formula in the dataset at 0.044 eV per atom.

abc: 4.6374 4.7180 21.7714
angles: 90.00 90.00 90.00
Closest atoms and distances in Å follow each position.
Space group Immm (No. 71)
Symmetry-distinct sites (fractional):
Tl  0.0000  0.0000  0.0000  8 Bi 3.66
Tl  0.0000  0.5000  0.1867  5 In 3.25-3.34, 2 Bi 3.40
In  0.0000  0.5000  0.3359  2 Bi 3.09, 5 Tl 3.25-3.34
Bi  0.0000  0.0000  0.4276  2 In 3.09, 1 Bi 3.15, 2 Tl 3.40